Li3MnCr2O6: optimized geometry, PBE with a Hubbard U.

Values from the calculation:
SG = C2/m (12)
offset from the most stable computed form = 0.83 eV per formula unit

a b c (Å): 5.1123 5.1123 5.1338
angles (deg): 99.55 99.55 120.00
Positions (direct):
Li 0.1643 0.8357 0.5000
Li 0.8357 0.1643 0.5000
Li 0.5000 0.5000 0.5000
Mn 0.0000 0.0000 0.0000
Cr 0.3335 0.6665 0.0000
Cr 0.6665 0.3335 0.0000
O 0.9242 0.5946 0.7748
O 0.7426 0.7426 0.2249
O 0.0758 0.4054 0.2252
O 0.5946 0.9242 0.7748
O 0.2574 0.2574 0.7751
O 0.4054 0.0758 0.2252